1.
# HfMoPb2

An optimized crystal structure of HfMoPb2 (PBE, OQMD).

```
data_HfMoPb2
_symmetry_space_group_name_H-M 'F -4 3 m'
_symmetry_Int_Tables_number 216
_symmetry_space_group_name_Hall 'F -4 2 3'
_cell_length_a 7.134
_cell_length_b 7.134
_cell_length_c 7.134
_cell_angle_alpha 90.00
_cell_angle_beta 90.00
_cell_angle_gamma 90.00
loop_
_atom_site_label
_atom_site_fract_x
_atom_site_fract_y
_atom_site_fract_z
_atom_site_occupancy
Hf1 0.000 0.000 0.000 1
Mo1 0.250 0.250 0.250 1
Pb1 0.000 0.000 0.500 1
Pb2 0.250 0.250 0.750 1
```

Calculated values
- Total energy: -6.406 eV per atom

2.
# HfMoPb

An optimized crystal structure of HfMoPb (PBE, OQMD).

```
data_HfMoPb
_symmetry_space_group_name_H-M 'F -4 3 m'
_symmetry_Int_Tables_number 216
_symmetry_space_group_name_Hall 'F -4 2 3'
_cell_length_a 6.660
_cell_length_b 6.660
_cell_length_c 6.660
_cell_angle_alpha 90.00
_cell_angle_beta 90.00
_cell_angle_gamma 90.00
loop_
_atom_site_label
_atom_site_fract_x
_atom_site_fract_y
_atom_site_fract_z
_atom_site_occupancy
Hf1 0.000 0.000 0.000 1
Mo1 0.250 0.250 0.750 1
Pb1 0.250 0.250 0.250 1
```

Calculated values
- Total energy: -7.136 eV per atom